Record 1
The following is a PBE-GGA calculation of an optimized crystal structure of SiAgAs2, from Alexandria via LeMat-Bulk.

Computed properties:
As for the uncorrected formation energy: 0.457 eV/atom. As for the calculated total energy: -3.936 eV/atom. The total magnetization is 0.0 μB/cell. The value obtained for the volume is 18.8 Å³ per atom.

Unit cell a=3.7859 b=4.0925 c=4.8430 alpha=90.00 beta=90.00 gamma=90.00
Element x y z (fractional)
Si: 0.0000 0.0000 0.0000
Ag: 0.5000 0.0000 0.5000
As: 0.0000 0.5000 0.5000
As: 0.5000 0.5000 0.0000



Record 2
The following is a PBE-GGA calculation of an optimized crystal structure of BaCdI2N, from Alexandria via LeMat-Bulk.

Computed properties:
As for the uncorrected formation energy: -0.191 eV/atom. As for the calculated total energy: -3.043 eV/atom. The relative energy among the computed polymorphs comes out at 0 meV/atom. The total magnetization is 1.1 μB/cell. The value obtained for the volume is 33.2 Å³ per atom.

Unit cell a=6.2427 b=6.2427 c=4.2549 alpha=90.00 beta=90.00 gamma=90.00
Element x y z (fractional)
Ba: 0.0000 0.0000 0.0000
Cd: 0.5000 0.5000 0.5000
I: 0.0000 0.5000 0.5000
I: 0.5000 0.0000 0.5000
N: 0.5000 0.5000 0.0000



Record 3
The following is a PBE-GGA calculation of an optimized crystal structure of TmSnBi2, from Alexandria via LeMat-Bulk.

Computed properties:
As for the calculated total energy: -3.883 eV/atom. The relative energy among the computed polymorphs comes out at 471 meV/atom. As for the formation enthalpy at 0 K: 17.0 kJ per mole of atoms. The total magnetization is 0.0 μB/cell. The value obtained for the volume is 42.1 Å³ per atom.

Unit cell a=9.2661 b=9.2661 c=9.2661 alpha=29.27 beta=29.27 gamma=29.27
Element x y z (fractional)
Tm: 0.0000 0.0000 0.0000
Sn: 0.5000 0.5000 0.5000
Bi: 0.3910 0.3910 0.3910
Bi: 0.6090 0.6090 0.6090



Record 4
The following is a PBE-GGA calculation of an optimized crystal structure of Dy3NiHg, from Alexandria via LeMat-Bulk.

Computed properties:
As for the calculated total energy: -4.248 eV/atom. The relative energy among the computed polymorphs comes out at 97 meV/atom. As for the formation enthalpy at 0 K: -26.0 kJ per mole of atoms. The total magnetization is 0.0 μB/cell. The value obtained for the volume is 26.9 Å³ per atom.

Unit cell a=8.6506 b=8.6506 c=3.8561 alpha=90.00 beta=90.00 gamma=111.29
Element x y z (fractional)
Dy: 0.1786 0.8214 0.0000
Dy: 0.1808 0.4248 0.5000
Dy: 0.4248 0.1808 0.5000
Dy: 0.5752 0.8192 0.5000
Dy: 0.8192 0.5752 0.5000
Dy: 0.8214 0.1786 0.0000
Ni: 0.0000 0.5000 0.0000
Ni: 0.5000 0.0000 0.0000
Hg: 0.0000 0.0000 0.5000
Hg: 0.5000 0.5000 0.0000



Record 5
The following is a PBE-GGA calculation of an optimized crystal structure of MnP2W, from Alexandria via LeMat-Bulk.

Computed properties:
As for the calculated total energy: -8.373 eV/atom. As for the formation enthalpy at 0 K: -13.3 kJ per mole of atoms. The total magnetization is 0.0 μB/cell. The value obtained for the volume is 12.5 Å³ per atom.

Unit cell a=4.1179 b=4.1179 c=2.9391 alpha=90.00 beta=90.00 gamma=90.00
Element x y z (fractional)
Mn: 0.0000 0.0000 0.0000
P: 0.0000 0.5000 0.5000
P: 0.5000 0.0000 0.5000
W: 0.5000 0.5000 0.0000



Record 6
The following is a PBE-GGA calculation of an optimized crystal structure of CdGaPb, from Alexandria via LeMat-Bulk.

Computed properties:
As for the calculated total energy: -2.485 eV/atom. The relative energy among the computed polymorphs comes out at 16 meV/atom. As for the formation enthalpy at 0 K: 6.2 kJ per mole of atoms. The total magnetization is 0.0 μB/cell. The value obtained for the volume is 25.3 Å³ per atom.

Unit cell a=7.0519 b=7.0519 c=5.3892 alpha=101.44 beta=101.44 gamma=35.38
Element x y z (fractional)
Cd: 0.0706 0.0706 0.2712
Cd: 0.9294 0.9294 0.7288
Ga: 0.2676 0.2676 0.6665
Ga: 0.7324 0.7324 0.3335
Pb: 0.3882 0.3882 0.2090
Pb: 0.6118 0.6118 0.7910



Record 7
The following is a PBE-GGA calculation of an optimized crystal structure of KPb2AuCl8, from Alexandria via LeMat-Bulk.

Computed properties:
As for the uncorrected formation energy: -0.957 eV/atom. As for the calculated total energy: -3.171 eV/atom. The total magnetization is 0.0 μB/cell. The value obtained for the volume is 33.2 Å³ per atom.

Unit cell a=6.5158 b=8.6532 c=7.1199 alpha=90.00 beta=96.93 gamma=90.00
Element x y z (fractional)
K: 0.0000 0.0000 0.0000
Pb: 0.5000 0.2627 0.5000
Pb: 0.5000 0.7373 0.5000
Au: 0.0000 0.5000 0.0000
Cl: 0.2360 0.3080 0.1159
Cl: 0.2360 0.6920 0.1159
Cl: 0.2563 0.5000 0.6210
Cl: 0.3276 0.0000 0.6944
Cl: 0.6724 0.0000 0.3056
Cl: 0.7437 0.5000 0.3790
Cl: 0.7640 0.3080 0.8841
Cl: 0.7640 0.6920 0.8841



Record 8
The following is a PBE-GGA calculation of an optimized crystal structure of AcHfN3, from Alexandria via LeMat-Bulk.

Computed properties:
As for the uncorrected formation energy: -0.688 eV/atom. As for the calculated total energy: -8.495 eV/atom. The total magnetization is 3.9 μB/cell. The value obtained for the volume is 18.6 Å³ per atom.

Unit cell a=6.1102 b=6.1102 c=5.7419 alpha=90.00 beta=90.00 gamma=120.00
Element x y z (fractional)
Ac: 0.3333 0.6667 0.2500
Ac: 0.6667 0.3333 0.7500
Hf: 0.0000 0.0000 0.2500
Hf: 0.0000 0.0000 0.7500
N: 0.0000 0.2693 0.5000
N: 0.0000 0.7307 0.0000
N: 0.2693 0.0000 0.5000
N: 0.2693 0.2693 0.0000
N: 0.7307 0.0000 0.0000
N: 0.7307 0.7307 0.5000



Record 9
The following is a PBE-GGA calculation of an optimized crystal structure of HgP2OsO8, from Alexandria via LeMat-Bulk.

Computed properties:
As for the uncorrected formation energy: -1.497 eV/atom. As for the calculated total energy: -6.665 eV/atom. The total magnetization is 2.0 μB/cell. The value obtained for the volume is 13.7 Å³ per atom.

Unit cell a=4.9128 b=4.9128 c=7.5646 alpha=95.50 beta=95.50 gamma=65.45
Element x y z (fractional)
Hg: 0.0000 0.0000 0.0000
P: 0.3348 0.3348 0.2924
P: 0.6652 0.6652 0.7076
Os: 0.0000 0.0000 0.5000
O: 0.2066 0.6861 0.3063
O: 0.2295 0.2295 0.4478
O: 0.2453 0.2453 0.1026
O: 0.3139 0.7934 0.6937
O: 0.6861 0.2066 0.3063
O: 0.7547 0.7547 0.8974
O: 0.7705 0.7705 0.5522
O: 0.7934 0.3139 0.6937



Record 10
The following is a PBE-GGA calculation of an optimized crystal structure of Al2AgPb, from Alexandria via LeMat-Bulk.

Computed properties:
As for the calculated total energy: -3.302 eV/atom. As for the formation enthalpy at 0 K: 20.2 kJ per mole of atoms. The total magnetization is 0.0 μB/cell. The value obtained for the volume is 22.3 Å³ per atom.

Unit cell a=3.4242 b=4.7371 c=5.5064 alpha=90.00 beta=94.13 gamma=90.00
Element x y z (fractional)
Al: 0.0582 0.0000 0.2550
Al: 0.9418 0.0000 0.7450
Ag: 0.0000 0.5000 0.5000
Pb: 0.5000 0.5000 0.0000



Record 11
The following is a PBE-GGA calculation of an optimized crystal structure of KSbTe2I, from Alexandria via LeMat-Bulk.

Computed properties:
As for the uncorrected formation energy: 0.769 eV/atom. As for the calculated total energy: -1.842 eV/atom. The relative energy among the computed polymorphs comes out at 1072 meV/atom. The total magnetization is 0.8 μB/cell. The value obtained for the volume is 44.4 Å³ per atom.

Unit cell a=6.0927 b=6.0927 c=5.9774 alpha=90.00 beta=90.00 gamma=90.00
Element x y z (fractional)
K: 0.0000 0.0000 0.0000
Sb: 0.5000 0.5000 0.5000
Te: 0.0000 0.5000 0.0000
Te: 0.5000 0.0000 0.0000
I: 0.0000 0.0000 0.5000



Record 12
The following is a PBE-GGA calculation of an optimized crystal structure of Be2FeAs, from Alexandria via LeMat-Bulk.

Computed properties:
As for the calculated total energy: -5.110 eV/atom. The relative energy among the computed polymorphs comes out at 26 meV/atom. As for the formation enthalpy at 0 K: 3.0 kJ per mole of atoms. The total magnetization is 0.7 μB/cell. The value obtained for the volume is 10.3 Å³ per atom.

Unit cell a=4.3086 b=4.3086 c=4.3086 alpha=133.61 beta=133.61 gamma=67.70
Element x y z (fractional)
Be: 0.0000 0.0000 0.0000
Be: 0.7500 0.2500 0.5000
Fe: 0.2500 0.7500 0.5000
As: 0.5000 0.5000 0.0000



What is the total magnetization in the twelfth record?
0.7 μB/cell